## Ac4Ir2I3 (PBE)

Data for a relaxed structure of Ac4Ir2I3.

Cell: 10.7188 10.7188 6.1656 Å, 90.03 90.03 81.19°
Atoms (fractional coordinates):
Ac 0.0448 0.6734 0.5070
Ac 0.2176 0.4009 0.9924
Ac 0.3266 0.9552 0.9930
Ac 0.4009 0.2176 0.4924
Ac 0.5991 0.7824 0.5076
Ac 0.6734 0.0448 0.0070
Ac 0.7824 0.5991 0.0076
Ac 0.9552 0.3266 0.4930
Ir 0.1902 0.4176 0.4876
Ir 0.4176 0.1902 0.9876
Ir 0.5824 0.8098 0.0124
Ir 0.8098 0.5824 0.5124
I 0.0119 0.8085 0.0090
I 0.1915 0.9881 0.4910
I 0.3643 0.6357 0.7500
I 0.6357 0.3643 0.2500
I 0.8085 0.0119 0.5090
I 0.9881 0.1915 0.9910

Output
The formation energy (no corrections) is -0.892 eV/atom. The value obtained for the magnetic moment is 0.000 μB/cell.

***

## Dy3UAg3Te8 (PBE)

Data for a relaxed structure of Dy3UAg3Te8.

Cell: 8.6276 8.6276 8.6440 Å, 118.74 118.74 61.33°
Atoms (fractional coordinates):
Dy 0.0000 0.0000 0.0000
Dy 0.0000 0.5000 0.5000
Dy 0.5000 0.0000 0.5000
U 0.5000 0.5000 0.0000
Ag 0.0000 0.5000 0.0000
Ag 0.5000 0.0000 0.0000
Ag 0.5000 0.5000 0.5000
Te 0.2490 0.2490 0.7489
Te 0.2489 0.7501 0.2501
Te 0.2499 0.7511 0.7499
Te 0.2523 0.2523 0.2486
Te 0.7477 0.7477 0.7514
Te 0.7501 0.2489 0.2501
Te 0.7511 0.2499 0.7499
Te 0.7510 0.7510 0.2511

Output
The formation energy (no corrections) is -0.780 eV/atom. The value obtained for the magnetic moment is 2.000 μB/cell.

***

## ZnSb2Ir (PBE)

Data for a relaxed structure of ZnSb2Ir.

Cell: 4.9394 4.9394 3.3793 Å, 90.88 90.88 105.71°
Atoms (fractional coordinates):
Zn 0.0000 0.0000 0.0000
Sb 0.0000 0.5000 0.5000
Sb 0.5000 0.0000 0.5000
Ir 0.5000 0.5000 0.0000

Output
The formation energy (no corrections) is 0.275 eV/atom. The value obtained for the magnetic moment is 0.000 μB/cell. The offset from the most stable computed form is 130 kJ/mol of formula units.

***

## AgWAu2 (PBE)

Data for a relaxed structure of AgWAu2.

Cell: 2.8551 2.8551 8.4547 Å, 90.00 90.00 90.00°
Atoms (fractional coordinates):
Ag 0.0000 0.0000 0.0000
W 0.0000 0.0000 0.5000
Au 0.5000 0.5000 0.2603
Au 0.5000 0.5000 0.7397

Output
The value obtained for the magnetic moment is 0.000 μB/cell. The offset from the most stable computed form is 0 kJ/mol of formula units. The formation energy from the elements is 230 meV/atom.

***

## Zr2CdMo (PBE)

Data for a relaxed structure of Zr2CdMo.

Cell: 5.6245 5.6245 5.6245 Å, 141.87 131.23 63.53°
Atoms (fractional coordinates):
Zr 0.0000 0.0000 0.0000
Zr 0.7345 0.2345 0.5000
Cd 0.2645 0.7645 0.5000
Mo 0.5089 0.5089 0.0000

Output
The value obtained for the magnetic moment is 0.000 μB/cell. The formation energy from the elements is 121 meV/atom.

***

## TiSnOF2 (PBE)

Data for a relaxed structure of TiSnOF2.

Cell: 4.3104 4.3104 3.8656 Å, 90.00 90.00 90.00°
Atoms (fractional coordinates):
Ti 0.0000 0.0000 0.0000
Sn 0.5000 0.5000 0.5000
O 0.0000 0.0000 0.5000
F 0.0000 0.5000 0.0000
F 0.5000 0.0000 0.0000

Output
The formation energy (no corrections) is -2.095 eV/atom. The value obtained for the magnetic moment is 1.375 μB/cell. The offset from the most stable computed form is 0 kJ/mol of formula units.

***

## ReTeOsN2 (PBE)

Data for a relaxed structure of ReTeOsN2.

Cell: 3.8307 3.8307 5.9334 Å, 90.00 90.00 90.00°
Atoms (fractional coordinates):
Re 0.0000 0.0000 0.0000
Te 0.5000 0.5000 0.0000
Os 0.5000 0.5000 0.5000
N 0.0000 0.5000 0.5000
N 0.5000 0.0000 0.5000

Output
The formation energy (no corrections) is 1.403 eV/atom. The value obtained for the magnetic moment is 3.580 μB/cell. The offset from the most stable computed form is 89 kJ/mol of formula units.

***

## Ca2ZrOsO8 (PBE)

Data for a relaxed structure of Ca2ZrOsO8.

Cell: 5.1263 5.1263 6.4986 Å, 90.00 90.00 92.56°
Atoms (fractional coordinates):
Ca 0.0000 0.0000 0.2477
Ca 0.0000 0.0000 0.7523
Zr 0.5000 0.5000 0.0000
Os 0.5000 0.5000 0.5000
O 0.2175 0.2175 0.0000
O 0.2392 0.2392 0.5000
O 0.3271 0.6729 0.2851
O 0.3271 0.6729 0.7149
O 0.6729 0.3271 0.2851
O 0.6729 0.3271 0.7149
O 0.7608 0.7608 0.5000
O 0.7825 0.7825 0.0000

Output
The formation energy (no corrections) is -2.118 eV/atom. The value obtained for the magnetic moment is 0.000 μB/cell.

***

## RuSO2 (PBE)

Data for a relaxed structure of RuSO2.

Cell: 6.4119 6.4119 6.4119 Å, 26.97 26.97 26.97°
Atoms (fractional coordinates):
Ru 0.0000 0.0000 0.0000
S 0.5000 0.5000 0.5000
O 0.3955 0.3955 0.3955
O 0.6045 0.6045 0.6045

Output
The formation energy (no corrections) is -0.185 eV/atom. The value obtained for the magnetic moment is 0.878 μB/cell. The offset from the most stable computed form is 0 kJ/mol of formula units.

***

## Ca2LaCl (PBE)

Data for a relaxed structure of Ca2LaCl.

Cell: 4.5382 4.5382 6.8172 Å, 90.00 90.00 90.00°
Atoms (fractional coordinates):
Ca 0.0000 0.5000 0.0000
Ca 0.5000 0.0000 0.0000
La 0.0000 0.0000 0.5000
Cl 0.5000 0.5000 0.5000

Output
The formation energy (no corrections) is -0.266 eV/atom. The value obtained for the magnetic moment is 0.000 μB/cell. The offset from the most stable computed form is 210 kJ/mol of formula units.

***

## Cr2ReTc (PBE)

Data for a relaxed structure of Cr2ReTc.

Cell: 5.0055 5.0249 5.0105 Å, 90.00 119.96 90.00°
Atoms (fractional coordinates):
Cr 0.0011 0.2500 0.4382
Cr 0.4407 0.7500 0.0034
Cr 0.5593 0.2500 0.9966
Cr 0.9989 0.7500 0.5618
Re 0.5000 0.0000 0.5000
Re 0.5000 0.5000 0.5000
Tc 0.0589 0.2500 0.9419
Tc 0.9411 0.7500 0.0581

Output
The value obtained for the magnetic moment is 0.000 μB/cell. The formation energy from the elements is 209 meV/atom.

***

## PrGdPd (PBE)

Data for a relaxed structure of PrGdPd.

Cell: 5.0062 5.0062 5.0062 Å, 60.00 60.00 60.00°
Atoms (fractional coordinates):
Pr 0.0000 0.0000 0.0000
Gd 0.5000 0.5000 0.5000
Pd 0.7500 0.7500 0.7500

Output
The value obtained for the magnetic moment is 7.377 μB/cell. The offset from the most stable computed form is 25 kJ/mol of formula units. The formation energy from the elements is -402 meV/atom.